Model w:
CsSr2Ca2 | PBE-GGA | optimized geometry

Values from the calculation:
**Calculated density**: 2.02 g cm⁻³
**Calculated volume**: 63.82 Å³/atom
**N(E_F)**: 7.370 states/eV/cell

Unit cell a=4.895 b=4.895 c=13.757 alpha=79.75 beta=79.75 gamma=90.00
Fractional positions:
Sr1 0.629 0.629 0.741
Ca1 0.750 0.250 0.500
Ca2 0.250 0.750 0.500
Sr2 0.371 0.371 0.259
Cs1 0.000 0.000 0.000

---

Model x:
CsSr2Ca2 | PBE-GGA | optimized geometry

Values from the calculation:
**Calculated density**: 2.04 g cm⁻³
**Calculated volume**: 63.37 Å³/atom
**N(E_F)**: 5.524 states/eV/cell

Unit cell a=5.715 b=5.715 c=10.507 alpha=74.22 beta=74.22 gamma=90.00
Fractional positions:
Sr1 0.250 0.750 0.500
Sr2 0.750 0.250 0.500
Cs1 0.000 0.000 0.000
Ca1 0.602 0.602 0.797
Ca2 0.398 0.398 0.203

---

Least stable: model x